{"formula": "NdTaCr2O6", "functional": "PBE+U", "state": "optimized geometry", "e_tot_ev_per_atom": -8.37, "space_group": "No. 1", "m_tot_mub_per_atom": 0.40, "lattice_angstrom": [[5.414, 0.000, 0.000], [-2.677, 4.726, 0.000], [-2.705, -1.556, 4.864]], "species": ["Nd", "Ta", "Cr", "Cr", "O", "O", "O", "O", "O", "O"], "frac_coords": [[0.000, 0.000, 0.000], [0.976, 0.485, 0.458], [0.579, 0.288, 0.865], [0.592, 0.795, 0.385], [0.084, 0.434, 0.170], [0.091, 0.217, 0.640], [0.424, 0.868, 0.636], [0.524, 0.087, 0.174], [0.737, 0.648, 0.171], [0.773, 0.558, 0.638]]}